The following is a GGA-PBE calculation of a relaxed Sc2TePt crystal, from Alexandria via LeMat-Bulk.

The calculation puts the size of the total moment at 0.1 μB/cell. The total DFT energy (no corrections) is -6.345 eV per atom. For the raw formation energy, the calculation gives -3.5 eV per formula unit.

It has space group Cmmm (No. 65), with a = 6.631 Å, b = 7.017 Å, c = 3.545 Å, α = 90.00°, β = 90.00° and γ = 90.00°. The asymmetric unit holds Sc at (0.250, 0.250, 0.000), Te at (0.000, 0.000, 0.500) and Pt at (0.000, 0.500, 0.500).

The following is a GGA-PBE calculation of a relaxed Sc2TePt crystal, from Alexandria via LeMat-Bulk.

The calculation puts the size of the total moment at 0.0 μB/cell. The total DFT energy (no corrections) is -5.957 eV per atom. For the raw formation energy, the calculation gives -2.0 eV per formula unit.

It has space group R3m (No. 160, hexagonal axes), with a = 3.8664 Å, b = 3.8664 Å, c = 24.2428 Å, α = 90.00°, β = 90.00° and γ = 120.00°. The asymmetric unit holds Sc at (0.0000, 0.0000, 0.0000), Sc at (0.0000, 0.0000, 0.2110), Te at (0.0000, 0.0000, 0.4705) and Pt at (0.0000, 0.0000, 0.7212).

The following is a GGA-PBE calculation of a relaxed ScTePt4 crystal, from Alexandria via LeMat-Bulk.

The calculation puts the size of the total moment at 0.0 μB/cell. The total DFT energy (no corrections) is -6.051 eV per atom. For the raw formation energy, the calculation gives -2.7 eV per formula unit.

It has space group F-43m (No. 216), with a = 7.610 Å, b = 7.610 Å, c = 7.610 Å, α = 90.00°, β = 90.00° and γ = 90.00°. The asymmetric unit holds Sc at (0.000, 0.000, 0.000), Te at (0.250, 0.250, 0.750) and Pt at (0.126, 0.126, 0.374).

The following is a GGA-PBE calculation of a relaxed ScTePt2 crystal, from Alexandria via LeMat-Bulk.

The calculation puts the size of the total moment at 0.0 μB/cell. The total DFT energy (no corrections) is -6.009 eV per atom. For the raw formation energy, the calculation gives -2.5 eV per formula unit.

It has space group Cm (No. 8), with a = 9.705 Å, b = 3.822 Å, c = 4.282 Å, α = 90.00°, β = 100.69° and γ = 90.00°. The asymmetric unit holds Sc at (0.000, 0.000, 0.000), Te at (0.252, 0.500, 0.266), Pt at (0.037, 0.500, 0.570) and Pt at (0.278, 0.000, 0.767).

The following is a GGA-PBE calculation of a relaxed Sc2TePt crystal, from Alexandria via LeMat-Bulk.

The calculation puts the size of the total moment at 0.0 μB/cell. The total DFT energy (no corrections) is -5.628 eV per atom. For the raw formation energy, the calculation gives -0.7 eV per formula unit.

It has space group R-3m (No. 166, hexagonal axes), with a = 3.6257 Å, b = 3.6257 Å, c = 26.6096 Å, α = 90.00°, β = 90.00° and γ = 120.00°. The asymmetric unit holds Sc at (0.0000, 0.0000, 0.0928), Te at (0.0000, 0.0000, 0.5000) and Pt at (0.0000, 0.0000, 0.0000).

The following is a GGA-PBE calculation of a relaxed ScTePt2 crystal, from Alexandria via LeMat-Bulk.

The calculation puts the size of the total moment at 0.0 μB/cell. The total DFT energy (no corrections) is -5.967 eV per atom. For the raw formation energy, the calculation gives -2.3 eV per formula unit.

It has space group I-42d (No. 122), with a = 4.074 Å, b = 4.074 Å, c = 19.266 Å, α = 90.00°, β = 90.00° and γ = 90.00°. The asymmetric unit holds Sc at (0.000, 0.000, 0.000), Te at (0.000, 0.000, 0.500) and Pt at (0.245, 0.250, 0.125).

The following is a GGA-PBE calculation of a relaxed Tm6ScTe3Pt2 crystal, from Alexandria via LeMat-Bulk.

The calculation puts the size of the total moment at 0.0 μB/cell. The total DFT energy (no corrections) is -5.554 eV per atom. For the raw formation energy, the calculation gives -12.0 eV per formula unit.

It has space group C2/m (No. 12), with a = 20.300 Å, b = 3.969 Å, c = 8.721 Å, α = 90.00°, β = 111.98° and γ = 90.00°. The asymmetric unit holds Tm at (0.025, 0.000, 0.284), Tm at (0.153, 0.500, 0.836), Tm at (0.169, 0.500, 0.267), Sc at (0.000, 0.500, 0.000), Te at (0.000, 0.500, 0.500), Te at (0.174, 0.000, 0.567) and Pt at (0.104, 0.000, 0.015).

The following is a GGA-PBE calculation of a relaxed ThScPt6 crystal, from Alexandria via LeMat-Bulk.

The formation energy comes out at -8.70 eV/f.u. The calculation puts the size of the total moment at 0.0 μB/cell. The total DFT energy (no corrections) is -7.337 eV per atom.

It has space group P4/mmm (No. 123), with a = 4.138 Å, b = 4.138 Å, c = 8.200 Å, α = 90.00°, β = 90.00° and γ = 90.00°. The asymmetric unit holds Th at (0.000, 0.000, 0.000), Sc at (0.000, 0.000, 0.500), Pt at (0.000, 0.500, 0.263), Pt at (0.500, 0.500, 0.000) and Pt at (0.500, 0.500, 0.500).

The following is a GGA-PBE calculation of a relaxed ThScPt2 crystal, from Alexandria via LeMat-Bulk.

As for the excess energy over the best structure of this formula in the dataset: 314.7 meV/atom. The formation energy comes out at -3.50 eV/f.u. The calculation puts the size of the total moment at 0.0 μB/cell. The total DFT energy (no corrections) is -7.334 eV per atom.

It has space group Amm2 (No. 38), with a = 3.550 Å, b = 6.845 Å, c = 7.650 Å, α = 90.00°, β = 90.00° and γ = 90.00°. The asymmetric unit holds Th at (0.000, 0.000, 0.000), Sc at (0.500, 0.000, 0.421) and Pt at (0.500, 0.208, 0.710).

The following is a GGA-PBE calculation of a relaxed ThScPt2 crystal, from Alexandria via LeMat-Bulk.

As for the excess energy over the best structure of this formula in the dataset: 2.4 meV/atom. The formation energy comes out at -4.75 eV/f.u. The calculation puts the size of the total moment at 0.0 μB/cell. The total DFT energy (no corrections) is -7.647 eV per atom.

It has space group R-3m (No. 166, hexagonal axes), with a = 4.6147 Å, b = 4.6147 Å, c = 14.1872 Å, α = 90.00°, β = 90.00° and γ = 120.00°. The asymmetric unit holds Th at (0.0000, 0.0000, 0.0000), Sc at (0.0000, 0.0000, 0.5000) and Pt at (0.0000, 0.0000, 0.2191).

The following is a GGA-PBE calculation of a relaxed ThScPt crystal, from Alexandria via LeMat-Bulk.

As for the excess energy over the best structure of this formula in the dataset: 0.0 meV/atom. The formation energy comes out at -2.56 eV/f.u. The calculation puts the size of the total moment at 0.0 μB/cell. The total DFT energy (no corrections) is -7.451 eV per atom.

It has space group P4/nmm (No. 129, origin choice 2), with a = 4.481 Å, b = 4.481 Å, c = 7.213 Å, α = 90.00°, β = 90.00° and γ = 90.00°. The asymmetric unit holds Th at (0.250, 0.250, 0.131), Sc at (0.250, 0.750, 0.500) and Pt at (0.250, 0.250, 0.738).

The following is a GGA-PBE calculation of a relaxed ThSc2Pt crystal, from Alexandria via LeMat-Bulk.

As for the excess energy over the best structure of this formula in the dataset: 230.0 meV/atom. The formation energy comes out at -1.66 eV/f.u. The calculation puts the size of the total moment at 0.0 μB/cell. The total DFT energy (no corrections) is -6.947 eV per atom.

It has space group R-3m (No. 166, hexagonal axes), with a = 3.5948 Å, b = 3.5948 Å, c = 26.9963 Å, α = 90.00°, β = 90.00° and γ = 120.00°. The asymmetric unit holds Th at (0.0000, 0.0000, 0.0000), Sc at (0.0000, 0.0000, 0.2290) and Pt at (0.0000, 0.0000, 0.5000).